No. 1
# CuAg4 (PBE, optimized geometry)
data_CuAg4
_cell_length_a 7.636
_cell_length_b 7.636
_cell_length_c 4.956
_cell_angle_alpha 96.10
_cell_angle_beta 96.10
_cell_angle_gamma 141.94
_symmetry_space_group_name_H-M 'P 1'
_symmetry_Int_Tables_number 1
loop_
_symmetry_equiv_pos_as_xyz
'x,y,z'
loop_
_atom_site_label
_atom_site_type_symbol
_atom_site_fract_x
_atom_site_fract_y
_atom_site_fract_z
Ag1 Ag 0.000 0.000 0.000
Ag2 Ag 0.799 0.201 0.000
Ag3 Ag 0.201 0.799 0.000
Ag4 Ag 0.899 0.101 0.500
Ag5 Ag 0.696 0.304 0.500
Ag6 Ag 0.500 0.500 0.500
Ag7 Ag 0.304 0.696 0.500
Ag8 Ag 0.101 0.899 0.500
Cu1 Cu 0.595 0.405 0.000
Cu2 Cu 0.405 0.595 0.000
# Space-group type: C2/m, No. 12
# Energy of formation from the pure elements, kJ per mole of atoms: 6
# Offset from the most stable computed form, kJ/mol of formula units: 18.1

No. 2
# TmCuTe2PbSe (PBE, optimized geometry)
data_TmCuTe2PbSe
_cell_length_a 7.558
_cell_length_b 7.558
_cell_length_c 10.522
_cell_angle_alpha 90.00
_cell_angle_beta 90.00
_cell_angle_gamma 147.73
_symmetry_space_group_name_H-M 'P 1'
_symmetry_Int_Tables_number 1
loop_
_symmetry_equiv_pos_as_xyz
'x,y,z'
loop_
_atom_site_label
_atom_site_type_symbol
_atom_site_fract_x
_atom_site_fract_y
_atom_site_fract_z
Cu1 Cu 0.474 0.526 0.250
Cu2 Cu 0.526 0.474 0.750
Pb1 Pb 0.742 0.258 0.250
Pb2 Pb 0.258 0.742 0.750
Se1 Se 0.070 0.930 0.250
Se2 Se 0.930 0.070 0.750
Te1 Te 0.355 0.645 0.060
Te2 Te 0.355 0.645 0.440
Te3 Te 0.645 0.355 0.560
Te4 Te 0.645 0.355 0.940
Tm1 Tm 0.000 0.000 0.000
Tm2 Tm 0.000 0.000 0.500
# Space-group type: Cmcm, No. 63
# Magnetization, μB per formula unit: 0.00

No. 3
# BaZn2GaIr (PBE, optimized geometry)
data_BaZn2GaIr
_cell_length_a 4.961
_cell_length_b 4.961
_cell_length_c 4.817
_cell_angle_alpha 90.00
_cell_angle_beta 90.00
_cell_angle_gamma 90.00
_symmetry_space_group_name_H-M 'P 1'
_symmetry_Int_Tables_number 1
loop_
_symmetry_equiv_pos_as_xyz
'x,y,z'
loop_
_atom_site_label
_atom_site_type_symbol
_atom_site_fract_x
_atom_site_fract_y
_atom_site_fract_z
Ba1 Ba 0.500 0.500 0.500
Ga1 Ga 0.000 0.000 0.500
Ir1 Ir 0.000 0.000 0.000
Zn1 Zn 0.500 0.000 0.000
Zn2 Zn 0.000 0.500 0.000
# Space-group type: P4/mmm, No. 123
# Magnetization, μB per formula unit: 0.00

No. 4
# LiGeAuO3 (PBE, optimized geometry)
data_LiGeAuO3
_cell_length_a 8.462
_cell_length_b 2.923
_cell_length_c 10.658
_cell_angle_alpha 90.00
_cell_angle_beta 90.00
_cell_angle_gamma 90.00
_symmetry_space_group_name_H-M 'P 1'
_symmetry_Int_Tables_number 1
loop_
_symmetry_equiv_pos_as_xyz
'x,y,z'
loop_
_atom_site_label
_atom_site_type_symbol
_atom_site_fract_x
_atom_site_fract_y
_atom_site_fract_z
Au1 Au 0.479 0.000 0.116
Au2 Au 0.979 0.500 0.384
Au3 Au 0.021 0.000 0.616
Au4 Au 0.521 0.500 0.884
Ge1 Ge 0.850 0.000 0.040
Ge2 Ge 0.350 0.500 0.460
Ge3 Ge 0.650 0.000 0.540
Ge4 Ge 0.150 0.500 0.960
Li1 Li 0.165 0.000 0.221
Li2 Li 0.665 0.500 0.279
Li3 Li 0.335 0.000 0.721
Li4 Li 0.835 0.500 0.779
O1 O 0.244 0.000 0.053
O2 O 0.984 0.500 0.099
O3 O 0.715 0.000 0.173
O4 O 0.215 0.500 0.327
O5 O 0.484 0.000 0.401
O6 O 0.744 0.500 0.447
O7 O 0.256 0.000 0.553
O8 O 0.516 0.500 0.599
O9 O 0.785 0.000 0.673
O10 O 0.285 0.500 0.827
O11 O 0.016 0.000 0.901
O12 O 0.756 0.500 0.947
# Space-group type: Pnma, No. 62

No. 5
# NaYCoAs (PBE, optimized geometry)
data_NaYCoAs
_cell_length_a 4.824
_cell_length_b 4.824
_cell_length_c 4.824
_cell_angle_alpha 60.00
_cell_angle_beta 60.00
_cell_angle_gamma 60.00
_symmetry_space_group_name_H-M 'P 1'
_symmetry_Int_Tables_number 1
loop_
_symmetry_equiv_pos_as_xyz
'x,y,z'
loop_
_atom_site_label
_atom_site_type_symbol
_atom_site_fract_x
_atom_site_fract_y
_atom_site_fract_z
As1 As 0.500 0.500 0.500
Co1 Co 0.000 0.000 0.000
Na1 Na 0.750 0.750 0.750
Y1 Y 0.250 0.250 0.250
# Space-group type: F-43m, No. 216
# Offset from the most stable computed form, kJ/mol of formula units: 39.1
# Magnetization, μB per formula unit: 0.04

No. 6
# MgUOs (PBE, optimized geometry)
data_MgUOs
_cell_length_a 4.548
_cell_length_b 4.548
_cell_length_c 4.548
_cell_angle_alpha 60.00
_cell_angle_beta 60.00
_cell_angle_gamma 60.00
_symmetry_space_group_name_H-M 'P 1'
_symmetry_Int_Tables_number 1
loop_
_symmetry_equiv_pos_as_xyz
'x,y,z'
loop_
_atom_site_label
_atom_site_type_symbol
_atom_site_fract_x
_atom_site_fract_y
_atom_site_fract_z
Mg1 Mg 0.250 0.250 0.250
Os1 Os 0.000 0.000 0.000
U1 U 0.750 0.750 0.750
# Space-group type: F-43m, No. 216
# Magnetization, μB per formula unit: 2.01

Number 1: E_tot -29.409 eV for the cell shown. Number 2: E_tot -52.868 eV for the cell shown. Number 3: E_tot -18.542 eV for the cell shown. Number 4: E_tot -129.474 eV for the cell shown. Number 5: E_tot -19.759 eV for the cell shown. Number 6: E_tot -23.081 eV for the cell shown.